## P
This record from Alexandria describes an optimized crystal structure of SrAlPb3. The functional is PBE-GGA.

The structure in CIF format:
```
data_SrAlPb3
_cell_length_a 5.537
_cell_length_b 5.537
_cell_length_c 5.537
_cell_angle_alpha 90.00
_cell_angle_beta 90.00
_cell_angle_gamma 90.00
_symmetry_space_group_name_H-M 'P 1'
_symmetry_Int_Tables_number 1
_symmetry_space_group_name_Hall 'P 1'
loop_
_atom_site_label
_atom_site_type_symbol
_atom_site_fract_x
_atom_site_fract_y
_atom_site_fract_z
Sr1 Sr 0.000 0.000 0.000
Al1 Al 0.500 0.500 0.500
Pb1 Pb 0.000 0.500 0.500
Pb2 Pb 0.500 0.000 0.500
Pb3 Pb 0.500 0.500 0.000
```

Computed properties:
The total magnetization comes out at 0.0000 μB per atom. Its density of states at the Fermi level is 0.58 states/eV per atom.


## Q
This record from Alexandria describes an optimized crystal structure of SrAlPb3. The functional is PBE-GGA.

The structure in CIF format:
```
data_SrAlPb3
_cell_length_a 6.088
_cell_length_b 6.088
_cell_length_c 6.088
_cell_angle_alpha 90.00
_cell_angle_beta 90.00
_cell_angle_gamma 90.00
_symmetry_space_group_name_H-M 'P 1'
_symmetry_Int_Tables_number 1
_symmetry_space_group_name_Hall 'P 1'
loop_
_atom_site_label
_atom_site_type_symbol
_atom_site_fract_x
_atom_site_fract_y
_atom_site_fract_z
Sr1 Sr 0.000 0.000 0.000
Al1 Al 0.500 0.500 0.500
Pb1 Pb 0.000 0.000 0.500
Pb2 Pb 0.000 0.500 0.000
Pb3 Pb 0.500 0.000 0.000
```

Computed properties:
The total magnetization comes out at 0.1307 μB per atom. Its density of states at the Fermi level is 1.26 states/eV per atom.


Computed relative energies in units of eV/atom: P 0.000; Q 0.880


## P
This record from Alexandria describes an optimized crystal structure of SrAl3Pb. The functional is PBE-GGA.

The structure in CIF format:
```
data_SrAl3Pb
_cell_length_a 5.746
_cell_length_b 5.746
_cell_length_c 5.746
_cell_angle_alpha 90.00
_cell_angle_beta 90.00
_cell_angle_gamma 90.00
_symmetry_space_group_name_H-M 'P 1'
_symmetry_Int_Tables_number 1
_symmetry_space_group_name_Hall 'P 1'
loop_
_atom_site_label
_atom_site_type_symbol
_atom_site_fract_x
_atom_site_fract_y
_atom_site_fract_z
Sr1 Sr 0.000 0.000 0.000
Al1 Al 0.000 0.000 0.500
Al2 Al 0.000 0.500 0.000
Al3 Al 0.500 0.000 0.000
Pb1 Pb 0.500 0.500 0.500
```

Computed properties:
The total magnetization comes out at 0.0000 μB per atom. Its density of states at the Fermi level is 0.73 states/eV per atom.


## Q
This record from Alexandria describes an optimized crystal structure of SrAl3Pb. The functional is PBE-GGA.

The structure in CIF format:
```
data_SrAl3Pb
_cell_length_a 5.505
_cell_length_b 5.505
_cell_length_c 5.505
_cell_angle_alpha 90.00
_cell_angle_beta 90.00
_cell_angle_gamma 90.00
_symmetry_space_group_name_H-M 'P 1'
_symmetry_Int_Tables_number 1
_symmetry_space_group_name_Hall 'P 1'
loop_
_atom_site_label
_atom_site_type_symbol
_atom_site_fract_x
_atom_site_fract_y
_atom_site_fract_z
Sr1 Sr 0.000 0.000 0.000
Al1 Al 0.000 0.500 0.500
Al2 Al 0.500 0.000 0.500
Al3 Al 0.500 0.500 0.000
Pb1 Pb 0.500 0.500 0.500
```

Computed properties:
The total magnetization comes out at 0.0000 μB per atom. Its density of states at the Fermi level is 0.64 states/eV per atom.


Computed relative energies in units of eV/atom: P 0.617; Q 0.000


## P
This record from Alexandria describes an optimized crystal structure of TaAl3Pb. The functional is PBE-GGA.

The structure in CIF format:
```
data_TaAl3Pb
_cell_length_a 5.149
_cell_length_b 5.149
_cell_length_c 5.149
_cell_angle_alpha 90.00
_cell_angle_beta 90.00
_cell_angle_gamma 90.00
_symmetry_space_group_name_H-M 'P 1'
_symmetry_Int_Tables_number 1
_symmetry_space_group_name_Hall 'P 1'
loop_
_atom_site_label
_atom_site_type_symbol
_atom_site_fract_x
_atom_site_fract_y
_atom_site_fract_z
Ta1 Ta 0.000 0.000 0.000
Al1 Al 0.000 0.500 0.500
Al2 Al 0.500 0.000 0.500
Al3 Al 0.500 0.500 0.000
Pb1 Pb 0.500 0.500 0.500
```

Computed properties:
The total magnetization comes out at 0.4326 μB per atom. Its density of states at the Fermi level is 1.01 states/eV per atom.


## Q
This record from Alexandria describes an optimized crystal structure of TaAl3Pb. The functional is PBE-GGA.

The structure in CIF format:
```
data_TaAl3Pb
_cell_length_a 5.087
_cell_length_b 5.087
_cell_length_c 5.087
_cell_angle_alpha 90.00
_cell_angle_beta 90.00
_cell_angle_gamma 90.00
_symmetry_space_group_name_H-M 'P 1'
_symmetry_Int_Tables_number 1
_symmetry_space_group_name_Hall 'P 1'
loop_
_atom_site_label
_atom_site_type_symbol
_atom_site_fract_x
_atom_site_fract_y
_atom_site_fract_z
Ta1 Ta 0.000 0.000 0.000
Al1 Al 0.000 0.000 0.500
Al2 Al 0.000 0.500 0.000
Al3 Al 0.500 0.000 0.000
Pb1 Pb 0.500 0.500 0.500
```

Computed properties:
The total magnetization comes out at 0.0000 μB per atom. Its density of states at the Fermi level is 0.61 states/eV per atom.


Computed relative energies in units of eV/atom: P 1.091; Q 0.000


## P
This record from Alexandria describes an optimized crystal structure of AlTcPb3. The functional is PBE-GGA.

The structure in CIF format:
```
data_AlTcPb3
_cell_length_a 5.331
_cell_length_b 5.331
_cell_length_c 5.331
_cell_angle_alpha 90.00
_cell_angle_beta 90.00
_cell_angle_gamma 90.00
_symmetry_space_group_name_H-M 'P 1'
_symmetry_Int_Tables_number 1
_symmetry_space_group_name_Hall 'P 1'
loop_
_atom_site_label
_atom_site_type_symbol
_atom_site_fract_x
_atom_site_fract_y
_atom_site_fract_z
Al1 Al 0.000 0.000 0.000
Tc1 Tc 0.500 0.500 0.500
Pb1 Pb 0.000 0.500 0.500
Pb2 Pb 0.500 0.000 0.500
Pb3 Pb 0.500 0.500 0.000
```

Computed properties:
The total magnetization comes out at 0.1945 μB per atom. Its density of states at the Fermi level is 1.02 states/eV per atom.


## Q
This record from Alexandria describes an optimized crystal structure of AlTcPb3. The functional is PBE-GGA.

The structure in CIF format:
```
data_AlTcPb3
_cell_length_a 5.356
_cell_length_b 5.356
_cell_length_c 5.356
_cell_angle_alpha 90.00
_cell_angle_beta 90.00
_cell_angle_gamma 90.00
_symmetry_space_group_name_H-M 'P 1'
_symmetry_Int_Tables_number 1
_symmetry_space_group_name_Hall 'P 1'
loop_
_atom_site_label
_atom_site_type_symbol
_atom_site_fract_x
_atom_site_fract_y
_atom_site_fract_z
Al1 Al 0.000 0.000 0.000
Tc1 Tc 0.500 0.500 0.500
Pb1 Pb 0.000 0.000 0.500
Pb2 Pb 0.000 0.500 0.000
Pb3 Pb 0.500 0.000 0.000
```

Computed properties:
The total magnetization comes out at 0.7090 μB per atom. Its density of states at the Fermi level is 1.01 states/eV per atom.


Computed relative energies in units of eV/atom: P 0.000; Q 0.589


## P
This record from Alexandria describes an optimized crystal structure of AlTc2Pb. The functional is PBE-GGA.

The structure in CIF format:
```
data_AlTc2Pb
_cell_length_a 8.706
_cell_length_b 8.706
_cell_length_c 8.706
_cell_angle_alpha 20.19
_cell_angle_beta 20.19
_cell_angle_gamma 20.19
_symmetry_space_group_name_H-M 'P 1'
_symmetry_Int_Tables_number 1
_symmetry_space_group_name_Hall 'P 1'
loop_
_atom_site_label
_atom_site_type_symbol
_atom_site_fract_x
_atom_site_fract_y
_atom_site_fract_z
Al1 Al 0.000 0.000 0.000
Tc1 Tc 0.255 0.255 0.255
Tc2 Tc 0.745 0.745 0.745
Pb1 Pb 0.500 0.500 0.500
```

Computed properties:
The total magnetization comes out at 0.1470 μB per atom. Its density of states at the Fermi level is 1.09 states/eV per atom.


## Q
This record from Alexandria describes an optimized crystal structure of AlTc2Pb. The functional is PBE-GGA.

The structure in CIF format:
```
data_AlTc2Pb
_cell_length_a 4.537
_cell_length_b 4.537
_cell_length_c 4.537
_cell_angle_alpha 60.00
_cell_angle_beta 60.00
_cell_angle_gamma 60.00
_symmetry_space_group_name_H-M 'P 1'
_symmetry_Int_Tables_number 1
_symmetry_space_group_name_Hall 'P 1'
loop_
_atom_site_label
_atom_site_type_symbol
_atom_site_fract_x
_atom_site_fract_y
_atom_site_fract_z
Al1 Al 0.000 0.000 0.000
Tc1 Tc 0.250 0.250 0.250
Tc2 Tc 0.750 0.750 0.750
Pb1 Pb 0.500 0.500 0.500
```

Computed properties:
The total magnetization comes out at 0.0000 μB per atom. Its density of states at the Fermi level is 1.17 states/eV per atom.


## R
This record from Alexandria describes an optimized crystal structure of AlTc2Pb. The functional is PBE-GGA.

The structure in CIF format:
```
data_AlTc2Pb
_cell_length_a 4.595
_cell_length_b 4.595
_cell_length_c 4.595
_cell_angle_alpha 60.00
_cell_angle_beta 60.00
_cell_angle_gamma 60.00
_symmetry_space_group_name_H-M 'P 1'
_symmetry_Int_Tables_number 1
_symmetry_space_group_name_Hall 'P 1'
loop_
_atom_site_label
_atom_site_type_symbol
_atom_site_fract_x
_atom_site_fract_y
_atom_site_fract_z
Al1 Al 0.000 0.000 0.000
Tc1 Tc 0.250 0.250 0.250
Tc2 Tc 0.500 0.500 0.500
Pb1 Pb 0.750 0.750 0.750
```

Computed properties:
The total magnetization comes out at 0.0008 μB per atom. Its density of states at the Fermi level is 1.50 states/eV per atom.


Computed relative energies in units of eV/atom: P 0.094; Q 0.000; R 0.199


## P
This record from Alexandria describes an optimized crystal structure of AlTePb2. The functional is PBE-GGA.

The structure in CIF format:
```
data_AlTePb2
_cell_length_a 6.744
_cell_length_b 6.744
_cell_length_c 3.223
_cell_angle_alpha 103.54
_cell_angle_beta 103.54
_cell_angle_gamma 117.49
_symmetry_space_group_name_H-M 'P 1'
_symmetry_Int_Tables_number 1
_symmetry_space_group_name_Hall 'P 1'
loop_
_atom_site_label
_atom_site_type_symbol
_atom_site_fract_x
_atom_site_fract_y
_atom_site_fract_z
Al1 Al 0.000 0.000 0.000
Te1 Te 0.500 0.500 0.000
Pb1 Pb 0.000 0.500 0.500
Pb2 Pb 0.500 0.000 0.500
```

Computed properties:
The total magnetization comes out at 0.0000 μB per atom. Its density of states at the Fermi level is 0.44 states/eV per atom.


## Q
This record from Alexandria describes an optimized crystal structure of AlTePb2. The functional is PBE-GGA.

The structure in CIF format:
```
data_AlTePb2
_cell_length_a 3.929
_cell_length_b 5.023
_cell_length_c 6.278
_cell_angle_alpha 90.00
_cell_angle_beta 107.69
_cell_angle_gamma 90.00
_symmetry_space_group_name_H-M 'P 1'
_symmetry_Int_Tables_number 1
_symmetry_space_group_name_Hall 'P 1'
loop_
_atom_site_label
_atom_site_type_symbol
_atom_site_fract_x
_atom_site_fract_y
_atom_site_fract_z
Al1 Al 0.000 0.000 0.000
Te1 Te 0.888 0.500 0.781
Pb1 Pb 0.246 0.000 0.494
Pb2 Pb 0.615 0.500 0.236
```

Computed properties:
The total magnetization comes out at 0.0000 μB per atom. Its density of states at the Fermi level is 0.38 states/eV per atom.


## R
This record from Alexandria describes an optimized crystal structure of AlTePb2. The functional is PBE-GGA.

The structure in CIF format:
```
data_AlTePb2
_cell_length_a 5.344
_cell_length_b 5.344
_cell_length_c 4.057
_cell_angle_alpha 90.00
_cell_angle_beta 90.00
_cell_angle_gamma 94.37
_symmetry_space_group_name_H-M 'P 1'
_symmetry_Int_Tables_number 1
_symmetry_space_group_name_Hall 'P 1'
loop_
_atom_site_label
_atom_site_type_symbol
_atom_site_fract_x
_atom_site_fract_y
_atom_site_fract_z
Al1 Al 0.000 0.000 0.000
Te1 Te 0.500 0.500 0.000
Pb1 Pb 0.000 0.500 0.500
Pb2 Pb 0.500 0.000 0.500
```

Computed properties:
The total magnetization comes out at 0.0000 μB per atom. Its density of states at the Fermi level is 0.36 states/eV per atom.


Computed relative energies in units of eV/atom: P 0.070; Q 0.014; R 0.000